Entry 1:
## KReAg3O4 (PBE-GGA)

Data for KReAg3O4 after structural relaxation.

```
KReAg3O4
1.0
5.7189 0.0000 0.0000
0.0000 5.7189 0.0000
0.0000 0.0000 5.7189
K Re Ag O
1 1 3 4
Direct
0.0000 0.0000 0.0000
0.5000 0.5000 0.5000
0.0000 0.5000 0.5000
0.5000 0.0000 0.5000
0.5000 0.5000 0.0000
0.3056 0.3056 0.3056
0.3056 0.6944 0.6944
0.6944 0.3056 0.6944
0.6944 0.6944 0.3056
```

For the magnetic moment, the calculation gives 1.89 μB per formula unit. Its space group is No. 215. For the final energy, the calculation gives -45.67 eV/f.u.

---

Entry 2:
## K5AgS6O9 (PBE-GGA)

Data for K5AgS6O9 after structural relaxation.

```
K5AgS6O9
1.0
10.6076 0.0000 0.0000
0.0000 10.6793 0.0000
-0.6074 0.0000 13.8390
K Ag S O
20 4 24 36
Direct
0.0435 0.0870 0.3370
0.0435 0.4130 0.8370
0.1017 0.2496 0.1018
0.1017 0.2504 0.6018
0.2505 0.6898 0.7365
0.2505 0.8102 0.2365
0.3655 0.2302 0.4189
0.3655 0.2698 0.9189
0.3965 0.0391 0.6706
0.3965 0.4609 0.1706
0.6035 0.5391 0.8294
0.6035 0.9609 0.3294
0.6345 0.7302 0.0811
0.6345 0.7698 0.5811
0.7495 0.1898 0.7635
0.7495 0.3102 0.2635
0.8983 0.7496 0.3982
0.8983 0.7504 0.8982
0.9565 0.5870 0.1630
0.9565 0.9130 0.6630
0.3445 0.5953 0.4587
0.3445 0.9047 0.9587
0.6555 0.0953 0.0413
0.6555 0.4047 0.5413
0.1164 0.1072 0.8332
0.1164 0.3928 0.3332
0.1332 0.5749 0.3743
0.1332 0.9251 0.8743
0.2169 0.5901 0.0010
0.2169 0.9099 0.5010
0.3813 0.1212 0.1837
0.3813 0.3788 0.6837
0.3821 0.6630 0.9556
0.3821 0.8370 0.4556
0.4596 0.5308 0.6189
0.4596 0.9692 0.1189
0.5404 0.0308 0.8811
0.5404 0.4692 0.3811
0.6179 0.1630 0.5444
0.6179 0.3370 0.0444
0.6187 0.6212 0.3163
0.6187 0.8788 0.8163
0.7831 0.0901 0.4990
0.7831 0.4099 0.9990
0.8668 0.0749 0.1257
0.8668 0.4251 0.6257
0.8836 0.6072 0.6668
0.8836 0.8928 0.1668
0.0044 0.6222 0.7240
0.0044 0.8778 0.2240
0.1132 0.6286 0.9327
0.1132 0.8714 0.4327
0.1191 0.1886 0.9199
0.1191 0.3114 0.4199
0.1973 0.6342 0.1007
0.1973 0.8658 0.6007
0.2232 0.1401 0.7724
0.2232 0.3599 0.2724
0.2300 0.0488 0.5006
0.2300 0.4512 0.0006
0.2647 0.0779 0.2288
0.2647 0.4221 0.7288
0.3534 0.2172 0.1090
0.3534 0.2828 0.6090
0.4768 0.1669 0.2569
0.4768 0.3331 0.7569
0.5232 0.6669 0.2431
0.5232 0.8331 0.7431
0.6466 0.7172 0.3910
0.6466 0.7828 0.8910
0.7353 0.5779 0.2712
0.7353 0.9221 0.7712
0.7700 0.5488 0.9994
0.7700 0.9512 0.4994
0.7768 0.6401 0.7276
0.7768 0.8599 0.2276
0.8027 0.1342 0.3993
0.8027 0.3658 0.8993
0.8809 0.6886 0.5801
0.8809 0.8114 0.0801
0.8868 0.1286 0.5673
0.8868 0.3714 0.0673
0.9956 0.1222 0.7760
0.9956 0.3778 0.2760
```

Its space group is No. 14. For the final energy, the calculation gives -107.19 eV/f.u.

---

Entry 3:
## K5AgSO2 (PBE-GGA)

Data for K5AgSO2 after structural relaxation.

```
K5AgSO2
1.0
5.2106 0.0000 0.0000
0.0000 5.2106 0.0000
0.0000 0.0000 9.1651
K Ag S O
5 1 1 2
Direct
0.0000 0.0000 0.0000
0.0000 0.5000 0.2390
0.0000 0.5000 0.7610
0.5000 0.0000 0.2390
0.5000 0.0000 0.7610
0.0000 0.0000 0.5000
0.5000 0.5000 0.0000
0.0000 0.0000 0.2788
0.0000 0.0000 0.7212
```

Its space group is No. 123. For the final energy, the calculation gives -31.35 eV/f.u.